This record from the Open Quantum Materials Database describes a relaxed structure of Ba2ScP6W. The functional is PBE-GGA.

SG = C2/m (12)
magnetic moment = 0.34 Bohr magnetons per cell
VASP energy = -5.98 eV/atom

Cell: 7.091 7.091 7.712 Å, 109.43 109.43 43.35°
Fractional coordinates of all 10 atoms:
Ba 0.225 0.225 0.245
Ba 0.775 0.775 0.755
Sc 0.000 0.000 0.500
P 0.125 0.720 0.165
P 0.280 0.875 0.835
P 0.396 0.396 0.663
P 0.604 0.604 0.337
P 0.720 0.125 0.165
P 0.875 0.280 0.835
W 0.500 0.500 0.000